No. 1
This record from Alexandria describes a geometry-optimized K2CaSn2Se4 structure. The functional is PBE.

Calculated values
Formation energy without anion corrections   -1.054 eV per atom
Raw total energy   -3.959 eV/atom

Cell: 17.7346 4.2150 8.5760 Å, 90.00 117.67 90.00°
Space group C2/m (No. 12)
One atom of each set of equivalent atoms:
K  0.1145  0.0000  0.0458 [4 per cell]
Ca  0.0000  0.0000  0.5000 [2 per cell]
Sn  0.1942  0.5000  0.5525 [4 per cell]
Se  0.0366  0.5000  0.2880 [4 per cell]
Se  0.1844  0.0000  0.7548 [4 per cell]



No. 2
This record from Alexandria describes a geometry-optimized SrDy3S6 structure. The functional is PBE.

Calculated values
Formation energy without anion corrections   -1.909 eV per atom
Raw total energy   -5.934 eV/atom
Density of states at the Fermi level   16.79 states/eV per cell

Cell: 11.1700 4.0289 11.5172 Å, 90.00 108.58 90.00°
Space group P2_1/m (No. 11)
One atom of each set of equivalent atoms:
Sr  0.0529  0.2500  0.1957 [2 per cell]
Dy  0.1602  0.2500  0.5849 [2 per cell]
Dy  0.3198  0.7500  0.0001 [2 per cell]
Dy  0.4467  0.2500  0.3334 [2 per cell]
S  0.0829  0.7500  0.4118 [2 per cell]
S  0.1335  0.2500  0.9612 [2 per cell]
S  0.2097  0.7500  0.7486 [2 per cell]
S  0.2768  0.7500  0.2325 [2 per cell]
S  0.3917  0.2500  0.5528 [2 per cell]
S  0.4812  0.2500  0.1126 [2 per cell]



No. 3
This record from Alexandria describes a geometry-optimized TaMoS2N structure. The functional is PBE.

Calculated values
Formation energy without anion corrections   0.347 eV per atom
E above lowest polymorph   0 meV per atom
Raw total energy   -7.506 eV/atom
Density of states at the Fermi level   3.45 states/eV per cell

Cell: 4.8961 4.8961 3.8792 Å, 90.00 90.00 90.00°
Space group P4/mmm (No. 123)
One atom of each set of equivalent atoms:
Ta  0.0000  0.0000  0.0000 [1 per cell]
Mo  0.5000  0.5000  0.5000 [1 per cell]
S  0.0000  0.5000  0.0000 [2 per cell]
N  0.0000  0.0000  0.5000 [1 per cell]



No. 4
This record from Alexandria describes a geometry-optimized RbHg2AuBr6 structure. The functional is PBE.

Calculated values
Formation energy without anion corrections   -0.628 eV per atom
Raw total energy   -2.116 eV/atom
Density of states at the Fermi level   0.00 states/eV per cell

Cell: 15.2058 15.3192 7.5146 Å, 90.00 110.42 90.00°
Space group C2/c (No. 15)
One atom of each set of equivalent atoms:
Rb  0.0000  0.1341  0.2500 [4 per cell]
Hg  0.2043  0.4397  0.2392 [8 per cell]
Au  0.0000  0.2908  0.7500 [4 per cell]
Br  0.1198  0.0657  0.7127 [8 per cell]
Br  0.1199  0.4280  0.4925 [8 per cell]
Br  0.1305  0.2800  0.0498 [8 per cell]



No. 5
This record from Alexandria describes a geometry-optimized LaGa3N structure. The functional is PBE.

Calculated values
Formation energy without anion corrections   0.210 eV per atom
E above lowest polymorph   0 meV per atom
Raw total energy   -4.257 eV/atom
Density of states at the Fermi level   4.67 states/eV per cell

Cell: 4.6235 4.6235 4.6235 Å, 90.00 90.00 90.00°
Space group Pm-3m (No. 221)
One atom of each set of equivalent atoms:
La  0.0000  0.0000  0.0000 [1 per cell]
Ga  0.0000  0.5000  0.5000 [3 per cell]
N  0.5000  0.5000  0.5000 [1 per cell]



No. 6
This record from Alexandria describes a geometry-optimized Si3BCl structure. The functional is PBE.

Calculated values
Formation energy without anion corrections   0.910 eV per atom
E above lowest polymorph   0 meV per atom
Raw total energy   -4.049 eV/atom
Density of states at the Fermi level   5.59 states/eV per cell

Cell: 4.3325 4.3325 4.3325 Å, 90.00 90.00 90.00°
Space group Pm-3m (No. 221)
One atom of each set of equivalent atoms:
Si  0.0000  0.0000  0.5000 [3 per cell]
B  0.0000  0.0000  0.0000 [1 per cell]
Cl  0.5000  0.5000  0.5000 [1 per cell]



No. 7
This record from Alexandria describes a geometry-optimized TiBe3B structure. The functional is PBE.

Calculated values
E above lowest polymorph   0 meV per atom
Calculated formation energy   13.0 kJ/mol of atoms
Raw total energy   -5.015 eV/atom
Density of states at the Fermi level   1.38 states/eV per cell

Cell: 3.6243 3.6243 3.6243 Å, 90.00 90.00 90.00°
Space group Pm-3m (No. 221)
One atom of each set of equivalent atoms:
Ti  0.0000  0.0000  0.0000 [1 per cell]
Be  0.0000  0.5000  0.5000 [3 per cell]
B  0.5000  0.5000  0.5000 [1 per cell]



No. 8
This record from Alexandria describes a geometry-optimized TlMo2Pt structure. The functional is PBE.

Calculated values
E above lowest polymorph   291 meV per atom
Calculated formation energy   53.5 kJ/mol of atoms
Raw total energy   -6.963 eV/atom
Density of states at the Fermi level   3.77 states/eV per cell

Cell: 4.9321 4.9321 2.8585 Å, 90.00 90.00 90.00°
Space group P4/mmm (No. 123)
One atom of each set of equivalent atoms:
Tl  0.0000  0.0000  0.0000 [1 per cell]
Mo  0.0000  0.5000  0.5000 [2 per cell]
Pt  0.5000  0.5000  0.0000 [1 per cell]